{
  "formula": "VSbSe4O12",
  "functional": "GGA-PBEsol",
  "state": "relaxed",
  "energy_ev_per_cell": -223.99,
  "space_group": "No. 14",
  "lattice_angstrom": [[-0.624, 7.700, 2.127], [-6.585, -1.791, 4.552], [4.726, -1.333, 6.312]],
  "species": ["V", "V", "Sb", "Sb", "Se", "Se", "Se", "Se", "Se", "Se", "Se", "Se", "O", "O", "O", "O", "O", "O", "O", "O", "O", "O", "O", "O", "O", "O", "O", "O", "O", "O", "O", "O", "O", "O", "O", "O"],
  "frac_coords": [[0.500, 0.000, 0.000], [0.500, 0.500, 0.500], [0.000, 0.000, 0.500], [0.000, 0.500, 0.000], [0.336, 0.329, 0.186], [0.664, 0.829, 0.314], [0.182, 0.678, 0.660], [0.818, 0.178, 0.840], [0.664, 0.671, 0.814], [0.336, 0.171, 0.686], [0.818, 0.322, 0.340], [0.182, 0.822, 0.160], [0.436, 0.228, 0.028], [0.564, 0.728, 0.472], [0.014, 0.760, 0.542], [0.986, 0.260, 0.958], [0.062, 0.525, 0.756], [0.494, 0.450, 0.257], [0.506, 0.950, 0.243], [0.938, 0.025, 0.744], [0.759, 0.984, 0.441], [0.263, 0.566, 0.501], [0.241, 0.484, 0.059], [0.737, 0.066, 0.999], [0.564, 0.772, 0.972], [0.436, 0.272, 0.528], [0.986, 0.240, 0.458], [0.014, 0.740, 0.042], [0.938, 0.475, 0.244], [0.506, 0.550, 0.743], [0.494, 0.050, 0.757], [0.062, 0.975, 0.256], [0.241, 0.016, 0.559], [0.737, 0.434, 0.499], [0.759, 0.516, 0.941], [0.263, 0.934, 0.001]]
}